1.
Computed, not measured: an optimized crystal structure of Y6HgP2Se3 at the GGA-PBE level of DFT.

abc: 9.1899 9.1899 8.3405
angles: 103.00 103.00 25.42
Atoms (fractional coordinates):
Y 0.0060 0.0060 0.2623
Y 0.3276 0.3276 0.4280
Y 0.3299 0.3299 0.8976
Y 0.6701 0.6701 0.1024
Y 0.6724 0.6724 0.5720
Y 0.9940 0.9940 0.7377
Hg 0.5000 0.5000 0.0000
P 0.1681 0.1681 0.3370
P 0.8319 0.8319 0.6630
Se 0.1662 0.1662 0.8319
Se 0.5000 0.5000 0.5000
Se 0.8338 0.8338 0.1681

The calculation puts the total energy at -6.564 eV/atom. The density of states at the Fermi level is 4.85 states/eV/f.u. The value obtained for the formation energy from raw total energies is -18.4 eV/f.u.

=====

2.
Computed, not measured: an optimized crystal structure of YHgP2Se at the GGA-PBE level of DFT.

abc: 5.0028 5.0028 4.9018
angles: 90.00 90.00 90.00
Atoms (fractional coordinates):
Y 0.0000 0.0000 0.0000
Hg 0.5000 0.5000 0.0000
P 0.0000 0.5000 0.5000
P 0.5000 0.0000 0.5000
Se 0.5000 0.5000 0.5000

The calculation puts the total energy at -3.874 eV/atom. The density of states at the Fermi level is 2.73 states/eV/f.u. The value obtained for the formation energy from raw total energies is 1.7 eV/f.u.

=====

3.
Computed, not measured: an optimized crystal structure of SiHgP2 at the GGA-PBE level of DFT.

abc: 4.6037 3.3850 5.0851
angles: 90.00 105.45 90.00
Atoms (fractional coordinates):
Si 0.0000 0.0000 0.0000
Hg 0.2008 0.5000 0.6547
P 0.4511 0.0000 0.3315
P 0.7035 0.5000 0.1359

The calculation puts the total energy at -3.857 eV/atom. The density of states at the Fermi level is 1.34 states/eV/f.u. The value obtained for the formation energy from raw total energies is 1.1 eV/f.u.

=====

Which value of formation energy from raw total energies does entry 1 give? -18.4 eV/f.u.